Record 1
A plane-wave DFT calculation with PBE was carried out for a relaxed structure of Rb2Pm2F7.

## Properties
Crystal system   orthorhombic
Energy relative to the elements, uncorrected   -3436 meV per atom
Total energy   -5.67 eV per atom
Spin magnetization   0.7 μB per cell

Geometry as CIF:
```
data_Rb2Pm2F7
_chemical_formula_sum 'Rb4 Pm4 F14'
_cell_length_a 7.8875
_cell_length_b 8.5068
_cell_length_c 6.9080
_cell_angle_alpha 90.00
_cell_angle_beta 90.00
_cell_angle_gamma 90.00
_symmetry_space_group_name_H-M 'C m m m'
_symmetry_Int_Tables_number 65
_symmetry_space_group_name_Hall '-C 2 2'
loop_
_atom_site_label
_atom_site_type_symbol
_atom_site_fract_x
_atom_site_fract_y
_atom_site_fract_z
_atom_site_occupancy
Rb1 Rb 0.2383 0.0000 0.0000 1
Pm1 Pm 0.0000 0.2292 0.5000 1
F1 F 0.0000 0.0000 0.3118 1
F2 F 0.0000 0.5000 0.5000 1
F3 F 0.2500 0.2500 0.3092 1
```

Record 2
A plane-wave DFT calculation with PBE was carried out for a relaxed structure of Rb5Pm2F12.

## Properties
Crystal system   monoclinic
Energy relative to the elements, uncorrected   -3148 meV per atom
Total energy   -5.08 eV per atom
Spin magnetization   2.6 μB per cell

Geometry as CIF:
```
data_Rb5Pm2F12
_chemical_formula_sum 'Rb10 Pm4 F24'
_cell_length_a 14.1161
_cell_length_b 8.2716
_cell_length_c 6.9587
_cell_angle_alpha 90.00
_cell_angle_beta 98.07
_cell_angle_gamma 90.00
_symmetry_space_group_name_H-M 'C 1 2/m 1'
_symmetry_Int_Tables_number 12
loop_
_symmetry_equiv_pos_as_xyz
'x,y,z'
'-x,-y,-z'
'-x,y,-z'
'x,-y,z'
'x+1/2,y+1/2,z'
'-x+1/2,-y+1/2,-z'
'-x+1/2,y+1/2,-z'
'x+1/2,-y+1/2,z'
loop_
_atom_site_label
_atom_site_type_symbol
_atom_site_fract_x
_atom_site_fract_y
_atom_site_fract_z
_atom_site_occupancy
Rb1 Rb 0.0000 0.0000 0.0000 1
Rb2 Rb 0.1408 0.5000 0.0254 1
Rb3 Rb 0.2398 0.0000 0.4713 1
Pm1 Pm 0.0000 0.2550 0.5000 1
F1 F 0.0359 0.5000 0.3369 1
F2 F 0.0666 0.0000 0.6342 1
F3 F 0.1015 0.2043 0.2701 1
F4 F 0.1397 0.3020 0.7102 1
```

Record 3
A plane-wave DFT calculation with PBE was carried out for a relaxed structure of Rb2PmF4.

## Properties
Crystal system   orthorhombic
Energy relative to the elements, uncorrected   -3046 meV per atom
Total energy   -5.07 eV per atom
Spin magnetization   1.3 μB per cell
Energy above the most stable polymorph in this dataset   0.000 eV/atom

Geometry as CIF:
```
data_Rb2PmF4
_chemical_formula_sum 'Rb4 Pm2 F8'
_cell_length_a 6.8457
_cell_length_b 11.9742
_cell_length_c 3.9474
_cell_angle_alpha 90.00
_cell_angle_beta 90.00
_cell_angle_gamma 90.00
_symmetry_space_group_name_H-M 'P b a m'
_symmetry_Int_Tables_number 55
loop_
_symmetry_equiv_pos_as_xyz
'x,y,z'
'-x,-y,-z'
'-x,-y,z'
'x,y,-z'
'x+1/2,-y+1/2,-z'
'-x+1/2,y+1/2,z'
'-x+1/2,y+1/2,-z'
'x+1/2,-y+1/2,z'
loop_
_atom_site_label
_atom_site_type_symbol
_atom_site_fract_x
_atom_site_fract_y
_atom_site_fract_z
_atom_site_occupancy
Rb1 Rb 0.0267 0.1791 0.0000 1
Pm1 Pm 0.0000 0.5000 0.5000 1
F1 F 0.1374 0.4216 0.0000 1
F2 F 0.1507 0.6707 0.5000 1
```

Record 4
A plane-wave DFT calculation with PBE was carried out for a relaxed structure of RbPm2F6.

## Properties
Crystal system   tetragonal
Energy relative to the elements, uncorrected   -3550 meV per atom
Total energy   -5.96 eV per atom
Spin magnetization   1.8 μB per cell

Geometry as CIF:
```
data_RbPm2F6
_chemical_formula_sum 'Rb2 Pm4 F12'
_cell_length_a 4.1317
_cell_length_b 4.1317
_cell_length_c 19.0166
_cell_angle_alpha 90.00
_cell_angle_beta 90.00
_cell_angle_gamma 90.00
_symmetry_space_group_name_H-M 'I 4/m m m'
_symmetry_Int_Tables_number 139
_symmetry_space_group_name_Hall '-I 4 2'
loop_
_atom_site_label
_atom_site_type_symbol
_atom_site_fract_x
_atom_site_fract_y
_atom_site_fract_z
_atom_site_occupancy
Rb1 Rb 0.0000 0.0000 0.0000 1
Pm1 Pm 0.0000 0.0000 0.3331 1
F1 F 0.0000 0.5000 0.1135 1
F2 F 0.0000 0.5000 0.2500 1
```

Record 5
A plane-wave DFT calculation with PBE was carried out for a relaxed structure of RbPm2F8.

## Properties
Crystal system   monoclinic
Energy relative to the elements, uncorrected   -3509 meV per atom
Total energy   -5.82 eV per atom
Spin magnetization   2.4 μB per cell

Geometry as CIF:
```
data_RbPm2F8
_chemical_formula_sum 'Rb2 Pm4 F16'
_cell_length_a 7.3262
_cell_length_b 11.5024
_cell_length_c 4.4545
_cell_angle_alpha 90.00
_cell_angle_beta 91.33
_cell_angle_gamma 90.00
_symmetry_space_group_name_H-M 'C 1 2/m 1'
_symmetry_Int_Tables_number 12
loop_
_symmetry_equiv_pos_as_xyz
'x,y,z'
'-x,-y,-z'
'-x,y,-z'
'x,-y,z'
'x+1/2,y+1/2,z'
'-x+1/2,-y+1/2,-z'
'-x+1/2,y+1/2,-z'
'x+1/2,-y+1/2,z'
loop_
_atom_site_label
_atom_site_type_symbol
_atom_site_fract_x
_atom_site_fract_y
_atom_site_fract_z
_atom_site_occupancy
Rb1 Rb 0.0000 0.0000 0.0000 1
Pm1 Pm 0.0000 0.3093 0.5000 1
F1 F 0.0000 0.2642 0.0000 1
F2 F 0.0137 0.5000 0.7479 1
F3 F 0.1907 0.1432 0.5079 1
```

Record 6
A plane-wave DFT calculation with PBE was carried out for a relaxed structure of RbPmSF2.

## Properties
Crystal system   tetragonal
Energy relative to the elements, uncorrected   -2869 meV per atom
Total energy   -5.59 eV per atom
Spin magnetization   0.0 μB per cell

Geometry as CIF:
```
data_RbPmSF2
_chemical_formula_sum 'Rb1 Pm1 S1 F2'
_cell_length_a 4.6699
_cell_length_b 4.6699
_cell_length_c 5.5283
_cell_angle_alpha 90.00
_cell_angle_beta 90.00
_cell_angle_gamma 90.00
_symmetry_space_group_name_H-M 'P 4 m m'
_symmetry_Int_Tables_number 99
loop_
_symmetry_equiv_pos_as_xyz
'x,y,z'
'-y,x,z'
'-x,-y,z'
'y,-x,z'
'-x,y,z'
'y,x,z'
'x,-y,z'
'-y,-x,z'
loop_
_atom_site_label
_atom_site_type_symbol
_atom_site_fract_x
_atom_site_fract_y
_atom_site_fract_z
_atom_site_occupancy
Rb1 Rb 0.0000 0.0000 0.0000 1
Pm1 Pm 0.5000 0.5000 0.4867 1
S1 S 0.5000 0.5000 0.9846 1
F1 F 0.0000 0.5000 0.4810 1
```

Record 7
A plane-wave DFT calculation with PBE was carried out for a relaxed structure of Rb2SrPmF6.

## Properties
Crystal system   triclinic
Energy relative to the elements, uncorrected   -3263 meV per atom
Total energy   -5.22 eV per atom
Spin magnetization   0.0 μB per cell

Geometry as CIF:
```
data_Rb2SrPmF6
_chemical_formula_sum 'Rb2 Sr1 Pm1 F6'
_cell_length_a 6.7458
_cell_length_b 6.7484
_cell_length_c 6.7831
_cell_angle_alpha 90.02
_cell_angle_beta 119.81
_cell_angle_gamma 119.93
_symmetry_space_group_name_H-M 'P -1'
_symmetry_Int_Tables_number 2
loop_
_symmetry_equiv_pos_as_xyz
'x,y,z'
'-x,-y,-z'
loop_
_atom_site_label
_atom_site_type_symbol
_atom_site_fract_x
_atom_site_fract_y
_atom_site_fract_z
_atom_site_occupancy
Rb1 Rb 0.0309 0.2669 0.2971 1
Sr1 Sr 0.5000 0.5000 0.0000 1
Pm1 Pm 0.5000 0.0000 0.5000 1
F1 F 0.0175 0.7599 0.2950 1
F2 F 0.4585 0.7210 0.7038 1
F3 F 0.4657 0.2443 0.7042 1
```

Record 8
A plane-wave DFT calculation with PBE was carried out for a relaxed structure of RbSrPmF6.

## Properties
Crystal system   orthorhombic
Energy relative to the elements, uncorrected   -3654 meV per atom
Total energy   -5.72 eV per atom
Spin magnetization   0.8 μB per cell

Geometry as CIF:
```
data_RbSrPmF6
_chemical_formula_sum 'Rb4 Sr4 Pm4 F24'
_cell_length_a 8.4645
_cell_length_b 8.7370
_cell_length_c 12.5767
_cell_angle_alpha 90.00
_cell_angle_beta 90.00
_cell_angle_gamma 90.00
_symmetry_space_group_name_H-M 'I m m a'
_symmetry_Int_Tables_number 74
_symmetry_space_group_name_Hall '-I 2b 2'
loop_
_atom_site_label
_atom_site_type_symbol
_atom_site_fract_x
_atom_site_fract_y
_atom_site_fract_z
_atom_site_occupancy
Rb1 Rb 0.0000 0.2500 0.0511 1
Sr1 Sr 0.2500 0.2500 0.7500 1
Pm1 Pm 0.0000 0.0000 0.5000 1
F1 F 0.0000 0.2500 0.4454 1
F2 F 0.0000 0.2500 0.8386 1
F3 F 0.1948 0.0564 0.6162 1
```

Record 9
A plane-wave DFT calculation with PBE was carried out for a relaxed structure of RbPmTl2F6.

## Properties
Crystal system   trigonal
Energy relative to the elements, uncorrected   -2885 meV per atom
Total energy   -5.05 eV per atom
Spin magnetization   0.0 μB per cell

Geometry as CIF:
```
data_RbPmTl2F6
_chemical_formula_sum 'Rb3 Pm3 Tl6 F18'
_cell_length_a 6.8440
_cell_length_b 6.8440
_cell_length_c 16.9061
_cell_angle_alpha 90.00
_cell_angle_beta 90.00
_cell_angle_gamma 120.00
_symmetry_space_group_name_H-M 'R 3'
_symmetry_Int_Tables_number 146
_symmetry_space_group_name_Hall 'R 3'
loop_
_atom_site_label
_atom_site_type_symbol
_atom_site_fract_x
_atom_site_fract_y
_atom_site_fract_z
_atom_site_occupancy
Rb1 Rb 0.0000 0.0000 0.0000 1
Pm1 Pm 0.0000 0.0000 0.4918 1
Tl1 Tl 0.0000 0.0000 0.2710 1
Tl2 Tl 0.0000 0.0000 0.7726 1
F1 F 0.0181 0.4097 0.2227 1
F2 F 0.0895 0.6833 0.0689 1
```